Computed, not measured: VGeIrO6 after structural relaxation at the GGA+U level of DFT.

Cell and atoms, written as POSCAR:
```
VGeIrO6
1.0
2.4810 -4.3271 0.0000
2.4810 4.3271 0.0000
-0.0392 0.0000 8.5466
V Ge Ir O
2 2 2 12
Cartesian
2.4516 2.9055 6.4099
2.4712 -2.9055 2.1366
2.4712 2.8851 2.1366
2.4516 -2.8851 6.4099
2.4810 0.0000 0.0000
2.4614 0.0000 4.2733
0.7541 0.0250 5.3958
1.5864 1.4619 7.4442
1.6241 1.4881 3.1637
0.7737 -0.0250 1.1225
1.6060 -1.4619 3.1709
3.3184 1.4881 1.1096
1.6045 -1.4881 7.4369
3.3168 1.4619 5.3757
4.1491 0.0250 7.4241
3.2988 -1.4881 5.3829
3.3364 -1.4619 1.1024
4.1687 -0.0250 3.1508
```

Values from the calculation:
Total energy   -125.30 eV/cell
Density of states at the Fermi level   2.74 states/eV/f.u.
Total moment   0.212 μB per formula unit